1.
Below is a relaxed structure of Nd4Te2AsN, with properties calculated at the PBE level.

Unit cell a=7.2008 b=4.1399 c=7.6368 alpha=90.00 beta=108.31 gamma=90.00
Space group P2/m (No. 10)
Asymmetric unit:
Nd  0.2124  0.0000  0.1981 (multiplicity 2)
Nd  0.2343  0.5000  0.7967 (multiplicity 2)
Te  0.0000  0.0000  0.5000 (multiplicity 1)
Te  0.5000  0.5000  0.5000 (multiplicity 1)
As  0.5000  0.0000  0.0000 (multiplicity 1)
N  0.0000  0.5000  0.0000 (multiplicity 1)

Computed properties:
ΔE_f (raw): -1374 meV/atom
DOS(E_F): 0.420 states/eV per atom

=====

2.
Below is a relaxed structure of MgNi2AgH, with properties calculated at the PBE level.

Unit cell a=3.7839 b=3.7839 c=4.0556 alpha=90.00 beta=90.00 gamma=90.00
Space group P4/mmm (No. 123)
Asymmetric unit:
Mg  0.0000  0.0000  0.0000 (multiplicity 1)
Ni  0.0000  0.5000  0.5000 (multiplicity 2)
Ag  0.5000  0.5000  0.0000 (multiplicity 1)
H  0.5000  0.5000  0.5000 (multiplicity 1)

Computed properties:
DOS(E_F): 0.204 states/eV per atom

=====

3.
Below is a relaxed structure of TaCoNi2, with properties calculated at the PBE level.

Unit cell a=3.6050 b=3.6050 c=7.5755 alpha=90.00 beta=90.00 gamma=90.00
Space group I4/mmm (No. 139)
Asymmetric unit:
Ta  0.0000  0.0000  0.0000 (multiplicity 2)
Co  0.0000  0.0000  0.5000 (multiplicity 2)
Ni  0.0000  0.5000  0.2500 (multiplicity 4)

Computed properties:
DOS(E_F): 1.221 states/eV per atom
energy of formation: -0.283 eV per atom

=====

It is found that the electronic total energy values, taken in the order of the records, are -6.16 -3.91 -7.91 eV/atom.